Model 1:
The following is a DFT calculation (PBE) of a relaxed structure of CsCd3Hg.

Cell lengths 6.955, 6.955, 6.955 Å; angles 134.88, 134.88, 65.71 degrees
Fractional positions:
Cd 0.231 0.231 0.000
Cd 0.346 0.846 0.500
Cd 0.846 0.346 0.500
Cs 0.596 0.596 0.000
Hg 0.974 0.974 0.000


Model 2:
The following is a DFT calculation (PBE) of a relaxed structure of CsCd3Hg.

Cell lengths 7.498, 7.498, 7.498 Å; angles 90.00, 90.00, 90.00 degrees
Fractional positions:
Hg 0.500 0.500 0.500
Cd 0.000 0.000 0.500
Cd 0.500 0.000 0.000
Cd 0.000 0.500 0.000
Cs 0.000 0.000 0.000


Model 3:
The following is a DFT calculation (PBE) of a relaxed structure of CsCd3Hg.

Cell lengths 7.006, 7.519, 7.519 Å; angles 120.00, 90.00, 90.00 degrees
Fractional positions:
Cd 0.250 0.806 0.612
Cd 0.750 0.612 0.806
Cd 0.250 0.388 0.194
Cd 0.750 0.194 0.806
Cd 0.250 0.806 0.194
Cd 0.750 0.194 0.388
Hg 0.000 0.000 0.000
Hg 0.500 0.000 0.000
Cs 0.750 0.667 0.333
Cs 0.250 0.333 0.667


Model 4:
The following is a DFT calculation (PBE) of a relaxed structure of CsCd3Hg.

Cell lengths 5.783, 5.783, 5.783 Å; angles 90.00, 90.00, 90.00 degrees
Fractional positions:
Cd 0.000 0.000 0.500
Cd 0.000 0.500 0.000
Cd 0.500 0.000 0.000
Hg 0.000 0.000 0.000
Cs 0.500 0.500 0.500


Of them, model 1 has the highest stability.


Model 1:
The following is a DFT calculation (PBE) of a relaxed structure of CsCdHg3.

Cell lengths 6.117, 7.560, 8.422 Å; angles 63.31, 88.72, 90.02 degrees
Fractional positions:
Hg 0.845 0.862 0.502
Hg 0.844 0.562 0.002
Hg 0.539 0.757 0.211
Hg 0.151 0.967 0.793
Hg 0.844 0.162 0.001
Hg 0.845 0.362 0.501
Cd 0.055 0.751 0.225
Cd 0.635 0.974 0.778
Cs 0.343 0.218 0.290
Cs 0.346 0.506 0.714


Model 2:
The following is a DFT calculation (PBE) of a relaxed structure of CsCdHg3.

Cell lengths 7.152, 7.152, 7.152 Å; angles 90.00, 90.00, 90.00 degrees
Fractional positions:
Cd 0.500 0.500 0.500
Hg 0.000 0.000 0.500
Hg 0.500 0.000 0.000
Hg 0.000 0.500 0.000
Cs 0.000 0.000 0.000


Of them, model 1 has the highest stability.


Model 1:
The following is a DFT calculation (PBE) of a relaxed structure of CsCdHg3.

Cell lengths 5.787, 5.787, 5.787 Å; angles 90.00, 90.00, 90.00 degrees
Fractional positions:
Cs 0.500 0.500 0.500
Cd 0.000 0.000 0.000
Hg 0.000 0.000 0.500
Hg 0.000 0.500 0.000
Hg 0.500 0.000 0.000


Model 2:
The following is a DFT calculation (PBE) of a relaxed structure of CsCdHg3.

Cell lengths 5.616, 9.791, 12.538 Å; angles 90.00, 90.00, 90.00 degrees
Fractional positions:
Hg 0.750 0.150 0.783
Hg 0.250 0.350 0.283
Hg 0.250 0.066 0.393
Hg 0.250 0.566 0.107
Hg 0.250 0.363 0.704
Hg 0.750 0.934 0.607
Hg 0.750 0.650 0.717
Hg 0.750 0.637 0.296
Hg 0.250 0.850 0.217
Hg 0.750 0.137 0.204
Hg 0.250 0.863 0.796
Hg 0.750 0.434 0.893
Cd 0.250 0.576 0.867
Cd 0.750 0.424 0.133
Cd 0.750 0.924 0.367
Cd 0.250 0.076 0.633
Cs 0.750 0.313 0.494
Cs 0.250 0.687 0.506
Cs 0.250 0.187 0.994
Cs 0.750 0.813 0.006


Of them, model 2 has the highest stability.


Model 1:
The following is a DFT calculation (PBE) of a relaxed structure of Cs3CdHg2.

Cell lengths 5.285, 10.055, 14.696 Å; angles 69.54, 79.64, 74.76 degrees
Fractional positions:
Cs 0.791 0.808 0.611
Cs 0.646 0.718 0.990
Cs 0.209 0.192 0.389
Cs 0.945 0.845 0.265
Cs 0.354 0.282 0.010
Cs 0.055 0.155 0.735
Cd 0.408 0.479 0.705
Cd 0.592 0.521 0.295
Hg 0.433 0.667 0.467
Hg 0.149 0.525 0.176
Hg 0.851 0.475 0.824
Hg 0.567 0.333 0.533


Model 2:
The following is a DFT calculation (PBE) of a relaxed structure of Cs3CdHg2.

Cell lengths 14.272, 7.636, 12.528 Å; angles 71.63, 90.00, 90.00 degrees
Fractional positions:
Cs 0.775 0.333 0.823
Cs 0.554 0.786 0.902
Cs 0.394 0.273 0.483
Cs 0.054 0.214 0.598
Cs 0.106 0.273 0.983
Cs 0.946 0.786 0.402
Cs 0.725 0.333 0.323
Cs 0.606 0.727 0.517
Cs 0.446 0.214 0.098
Cs 0.275 0.667 0.677
Cs 0.225 0.667 0.177
Cs 0.894 0.727 0.017
Cd 0.809 0.909 0.679
Cd 0.691 0.909 0.179
Cd 0.309 0.091 0.821
Cd 0.191 0.091 0.321
Hg 0.492 0.317 0.770
Hg 0.008 0.317 0.270
Hg 0.135 0.847 0.871
Hg 0.635 0.153 0.629
Hg 0.865 0.153 0.129
Hg 0.992 0.683 0.730
Hg 0.365 0.847 0.371
Hg 0.508 0.683 0.230


Of them, model 2 has the highest stability.


Model 1:
The following is a DFT calculation (PBE) of a relaxed structure of Cs2CdHg8.

Cell lengths 7.418, 6.559, 9.764 Å; angles 107.17, 117.90, 92.02 degrees
Fractional positions:
Hg 0.304 0.075 0.240
Hg 0.696 0.925 0.760
Hg 0.793 0.231 0.576
Hg 0.084 0.909 0.701
Hg 0.051 0.646 0.917
Hg 0.916 0.091 0.299
Hg 0.207 0.769 0.424
Hg 0.949 0.354 0.083
Cd 0.500 0.000 0.000
Cs 0.399 0.399 0.709
Cs 0.601 0.601 0.291


Model 2:
The following is a DFT calculation (PBE) of a relaxed structure of Cs2CdHg8.

Cell lengths 5.101, 5.101, 15.858 Å; angles 90.00, 90.00, 90.00 degrees
Fractional positions:
Hg 0.000 0.500 0.500
Hg 0.500 0.000 0.500
Hg 0.500 0.500 0.370
Hg 0.000 0.500 0.111
Hg 0.500 0.000 0.111
Hg 0.000 0.500 0.889
Hg 0.500 0.500 0.630
Hg 0.500 0.000 0.889
Cs 0.000 0.000 0.706
Cs 0.000 0.000 0.294
Cd 0.000 0.000 0.000


Of them, model 1 has the highest stability.


Model 1:
The following is a DFT calculation (PBE) of a relaxed structure of Cs2CdHg6.

Cell lengths 6.670, 7.415, 7.415 Å; angles 60.00, 89.99, 89.99 degrees
Fractional positions:
Hg 0.332 0.822 0.354
Hg 0.672 0.178 0.178
Hg 0.328 0.822 0.822
Hg 0.668 0.646 0.178
Hg 0.332 0.354 0.822
Hg 0.668 0.178 0.646
Cs 0.837 0.667 0.667
Cs 0.163 0.333 0.333
Cd 0.000 0.000 0.000


Model 2:
The following is a DFT calculation (PBE) of a relaxed structure of Cs2CdHg6.

Cell lengths 7.751, 7.751, 7.751 Å; angles 59.98, 59.98, 59.99 degrees
Fractional positions:
Cs 0.750 0.750 0.750
Cs 0.250 0.250 0.250
Hg 0.216 0.785 0.215
Hg 0.785 0.216 0.215
Hg 0.215 0.784 0.785
Hg 0.785 0.785 0.216
Hg 0.215 0.215 0.784
Hg 0.784 0.215 0.785
Cd 0.500 0.500 0.500


Of them, model 1 has the highest stability.